Below is TcNiO2 after structural relaxation, with properties calculated at the PBE+U level.

Values from the calculation:
Total magnetic moment (Bohr magnetons per cell): 2.33
Density of states at the Fermi level (states/eV/atom): 0.33
SG: C2/m
Energy (eV/cell): -52.8

abc: 6.3688 6.3688 3.8128
angles: 106.25 106.25 128.80
Fractional positions:
Tc: 0.1764 0.1764 0.3932
Tc: 0.8236 0.8236 0.6068
Ni: 0.0000 0.5000 0.0000
Ni: 0.5000 0.0000 0.0000
O: 0.1367 0.8633 0.5000
O: 0.3839 0.6161 0.5000
O: 0.6161 0.3839 0.5000
O: 0.8633 0.1367 0.5000